# Ac3TlAg (PBE, optimized geometry)
# formation energy = -87 meV per atom
# energy above the most stable polymorph in this dataset = 139.5 meV/atom
# magnetization = 0.0 μB/cell
# mass density = 8487 kg/m³
# N(E_F) = 1.131 states/eV per atom
# DFT total energy = -3.595 eV per atom
data_Ac3TlAg
_cell_length_a 13.5010
_cell_length_b 9.3764
_cell_length_c 13.8949
_cell_angle_alpha 90.00
_cell_angle_beta 117.89
_cell_angle_gamma 90.00
_space_group_name_H-M_alt 'C 1 2/c 1'
_space_group_IT_number 15
_space_group_name_Hall '-C 2yc'
loop_
_atom_site_label
_atom_site_type_symbol
_atom_site_fract_x
_atom_site_fract_y
_atom_site_fract_z
_atom_site_occupancy
Ac1 Ac 0.0229 0.1784 0.1030 1
Ac2 Ac 0.1357 0.3769 0.7344 1
Ac3 Ac 0.2458 0.0561 0.9472 1
Tl1 Tl 0.2185 0.3026 0.3680 1
Ag1 Ag 0.0000 0.0940 0.7500 1
Ag2 Ag 0.0000 0.5000 0.0000 1